1.
A plane-wave DFT calculation with PBE was carried out for a geometry-optimized ZrSbSe structure.

abc: 5.6703 13.9109 7.4292
angles: 90.00 90.00 90.00
Space group Cmce (No. 64)
Asymmetric unit:
Zr 0.0000 0.1265 0.0765
Sb 0.2500 0.0454 0.7500
Se 0.0000 0.1977 0.4094

Properties
The calculation puts the density of states at the Fermi level at 3.89 states/eV per cell. The calculation puts the raw formation energy at -0.80 eV/atom. For the uncorrected energy, the calculation gives -6.185 eV/atom.



2.
A plane-wave DFT calculation with PBE was carried out for a geometry-optimized ZrSb3Se structure.

abc: 5.5089 5.5089 5.5089
angles: 90.00 90.00 90.00
Space group Pm-3m (No. 221)
Asymmetric unit:
Zr 0.0000 0.0000 0.0000
Sb 0.0000 0.0000 0.5000
Se 0.5000 0.5000 0.5000

Properties
The calculation puts the density of states at the Fermi level at 4.40 states/eV per cell. The calculation puts the raw formation energy at 0.40 eV/atom. As for the offset from the most stable computed form: 0 meV per atom. For the uncorrected energy, the calculation gives -4.482 eV/atom.



3.
A plane-wave DFT calculation with PBE was carried out for a geometry-optimized ZrSbSe3 structure.

abc: 5.2070 5.2070 5.2070
angles: 90.00 90.00 90.00
Space group Pm-3m (No. 221)
Asymmetric unit:
Zr 0.0000 0.0000 0.0000
Sb 0.5000 0.5000 0.5000
Se 0.0000 0.0000 0.5000

Properties
The calculation puts the density of states at the Fermi level at 5.73 states/eV per cell. The calculation puts the raw formation energy at -0.27 eV/atom. As for the offset from the most stable computed form: 0 meV per atom. For the uncorrected energy, the calculation gives -4.897 eV/atom.



4.
A plane-wave DFT calculation with PBE was carried out for a geometry-optimized Zr6Sb3Se structure.

abc: 10.8382 13.6087 6.7336
angles: 90.00 90.00 90.00
Space group Cmc2_1 (No. 36)
Asymmetric unit:
Zr 0.0000 0.0240 0.0000
Zr 0.0000 0.2423 0.3739
Zr 0.1548 0.4383 0.4200
Zr 0.1699 0.2462 0.9478
Sb 0.0000 0.4030 0.0712
Sb 0.1904 0.0943 0.2679
Se 0.0000 0.1544 0.7198

Properties
The calculation puts the density of states at the Fermi level at 31.97 states/eV per cell. The calculation puts the raw formation energy at -0.55 eV/atom. For the uncorrected energy, the calculation gives -7.268 eV/atom.



5.
A plane-wave DFT calculation with PBE was carried out for a geometry-optimized ZrSbSe2 structure.

abc: 3.7943 4.1648 5.8067
angles: 90.00 90.00 90.00
Space group Pmmm (No. 47)
Asymmetric unit:
Zr 0.0000 0.0000 0.0000
Sb 0.5000 0.0000 0.5000
Se 0.0000 0.5000 0.5000
Se 0.5000 0.5000 0.0000

Properties
The calculation puts the density of states at the Fermi level at 2.09 states/eV per cell. The calculation puts the raw formation energy at -0.35 eV/atom. For the uncorrected energy, the calculation gives -5.262 eV/atom.



6.
A plane-wave DFT calculation with PBE was carried out for a geometry-optimized ZrSbSe2 structure.

abc: 3.8593 4.9906 12.5868
angles: 90.00 90.00 90.00
Space group Immm (No. 71)
Asymmetric unit:
Zr 0.0000 0.0000 0.0000
Sb 0.0000 0.0000 0.5000
Se 0.0000 0.5000 0.3504

Properties
The calculation puts the density of states at the Fermi level at 5.65 states/eV per cell. The calculation puts the raw formation energy at -0.49 eV/atom. For the uncorrected energy, the calculation gives -5.401 eV/atom.



7.
A plane-wave DFT calculation with PBE was carried out for a geometry-optimized Zr5Sb3Se structure.

abc: 8.5707 8.5707 6.1506
angles: 90.00 90.00 120.00
Space group P6_3/mcm (No. 193)
Asymmetric unit:
Zr 0.0000 0.2612 0.2500
Zr 0.3333 0.6667 0.0000
Sb 0.0000 0.3956 0.7500
Se 0.0000 0.0000 0.0000

Properties
The calculation puts the density of states at the Fermi level at 11.49 states/eV per cell. The calculation puts the raw formation energy at -0.84 eV/atom. For the uncorrected energy, the calculation gives -7.353 eV/atom.



8.
A plane-wave DFT calculation with PBE was carried out for a geometry-optimized ZrSbSe structure.

abc: 6.6926 6.6926 6.6926
angles: 90.00 90.00 90.00
Space group F-43m (No. 216)
Asymmetric unit:
Zr 0.0000 0.0000 0.0000
Sb 0.0000 0.0000 0.5000
Se 0.2500 0.2500 0.7500

Properties
The calculation puts the density of states at the Fermi level at 20.74 states/eV per cell. The calculation puts the raw formation energy at -0.07 eV/atom. For the uncorrected energy, the calculation gives -5.457 eV/atom.



9.
A plane-wave DFT calculation with PBE was carried out for a geometry-optimized ZrSbSe2 structure.

abc: 4.1159 4.1159 10.4329
angles: 90.00 90.00 90.00
Space group I-4m2 (No. 119)
Asymmetric unit:
Zr 0.0000 0.0000 0.0000
Sb 0.0000 0.5000 0.7500
Se 0.0000 0.0000 0.5000
Se 0.0000 0.5000 0.2500

Properties
The calculation puts the density of states at the Fermi level at 4.61 states/eV per cell. The calculation puts the raw formation energy at -0.32 eV/atom. For the uncorrected energy, the calculation gives -5.230 eV/atom.



10.
A plane-wave DFT calculation with PBE was carried out for a geometry-optimized ZrSbSe structure.

abc: 4.7039 4.7039 3.5863
angles: 90.00 90.00 120.00
Space group P-6m2 (No. 187)
Asymmetric unit:
Zr 0.0000 0.0000 0.0000
Sb 0.6667 0.3333 0.5000
Se 0.3333 0.6667 0.0000

Properties
The calculation puts the density of states at the Fermi level at 2.12 states/eV per cell. The calculation puts the raw formation energy at -0.61 eV/atom. For the uncorrected energy, the calculation gives -5.992 eV/atom.



11.
A plane-wave DFT calculation with PBE was carried out for a geometry-optimized ZrSbSe2 structure.

abc: 7.5852 7.5852 6.8485
angles: 90.00 90.00 90.00
Space group I-42d (No. 122)
Asymmetric unit:
Zr 0.0000 0.0000 0.0000
Sb 0.0000 0.0000 0.5000
Se 0.2261 0.2500 0.1250

Properties
The calculation puts the density of states at the Fermi level at 13.43 states/eV per cell. The calculation puts the raw formation energy at -0.39 eV/atom. For the uncorrected energy, the calculation gives -5.297 eV/atom.



12.
A plane-wave DFT calculation with PBE was carried out for a geometry-optimized ZrSbSe2 structure.

abc: 9.7231 3.5425 6.1278
angles: 90.00 103.49 90.00
Space group Cm (No. 8)
Asymmetric unit:
Zr 0.0000 0.0000 0.0000
Sb 0.3274 0.0000 0.6057
Se 0.0092 0.5000 0.3360
Se 0.2016 0.5000 0.9667

Properties
The calculation puts the density of states at the Fermi level at 4.57 states/eV per cell. The calculation puts the raw formation energy at -0.69 eV/atom. For the uncorrected energy, the calculation gives -5.605 eV/atom.



13.
A plane-wave DFT calculation with PBE was carried out for a geometry-optimized Si2Sb structure.

abc: 4.2564 4.2564 3.7799
angles: 90.00 90.00 120.00
Space group P6/mmm (No. 191)
Asymmetric unit:
Si 0.3333 0.6667 0.0000
Sb 0.0000 0.0000 0.5000

Properties
The calculation puts the density of states at the Fermi level at 1.34 states/eV per cell. The calculation puts the raw formation energy at 0.49 eV/atom. As for the offset from the most stable computed form: 220 meV per atom. For the uncorrected energy, the calculation gives -4.500 eV/atom.



14.
A plane-wave DFT calculation with PBE was carried out for a geometry-optimized Si2Sb structure.

abc: 3.7094 19.3067 3.4531
angles: 90.00 90.00 90.00
Space group Cmcm (No. 63)
Asymmetric unit:
Si 0.0000 0.0448 0.2500
Si 0.0000 0.2654 0.7500
Sb 0.0000 0.3873 0.2500

Properties
The calculation puts the density of states at the Fermi level at 5.39 states/eV per cell. The calculation puts the raw formation energy at 0.45 eV/atom. As for the offset from the most stable computed form: 183 meV per atom. For the uncorrected energy, the calculation gives -4.537 eV/atom.



15.
A plane-wave DFT calculation with PBE was carried out for a geometry-optimized Si7Sb structure.

abc: 8.1356 8.1356 8.1356
angles: 90.00 90.00 90.00
Space group Fm-3m (No. 225)
Asymmetric unit:
Si 0.0000 0.0000 0.0000
Si 0.0000 0.2500 0.2500
Sb 0.0000 0.0000 0.5000

Properties
The calculation puts the density of states at the Fermi level at 22.94 states/eV per cell. The calculation puts the raw formation energy at 0.66 eV/atom. For the uncorrected energy, the calculation gives -4.602 eV/atom.



16.
A plane-wave DFT calculation with PBE was carried out for a geometry-optimized Si2Sb structure.

abc: 3.3526 3.3526 12.0352
angles: 90.00 90.00 90.00
Space group I4/mmm (No. 139)
Asymmetric unit:
Si 0.0000 0.0000 0.2270
Sb 0.0000 0.0000 0.0000

Properties
The calculation puts the density of states at the Fermi level at 2.74 states/eV per cell. The calculation puts the raw formation energy at 0.37 eV/atom. As for the offset from the most stable computed form: 102 meV per atom. For the uncorrected energy, the calculation gives -4.618 eV/atom.



17.
A plane-wave DFT calculation with PBE was carried out for a geometry-optimized Si2Sb structure.

abc: 8.0606 8.0606 3.6576
angles: 90.00 90.00 120.00
Space group P-62m (No. 189)
Asymmetric unit:
Si 0.0000 0.2761 0.0000
Si 0.0000 0.4802 0.5000
Sb 0.0000 0.0000 0.5000
Sb 0.3333 0.6667 0.0000

Properties
The calculation puts the density of states at the Fermi level at 5.31 states/eV per cell. The calculation puts the raw formation energy at 0.63 eV/atom. As for the offset from the most stable computed form: 359 meV per atom. For the uncorrected energy, the calculation gives -4.361 eV/atom.



18.
A plane-wave DFT calculation with PBE was carried out for a geometry-optimized SiSb3 structure.

abc: 4.6246 4.6246 4.6246
angles: 90.00 90.00 90.00
Space group Pm-3m (No. 221)
Asymmetric unit:
Si 0.0000 0.0000 0.0000
Sb 0.0000 0.5000 0.5000

Properties
The calculation puts the density of states at the Fermi level at 2.19 states/eV per cell. The calculation puts the raw formation energy at 0.49 eV/atom. As for the offset from the most stable computed form: 319 meV per atom. For the uncorrected energy, the calculation gives -3.953 eV/atom.



19.
A plane-wave DFT calculation with PBE was carried out for a geometry-optimized Si5Sb4 structure.

abc: 10.6420 10.6420 3.4922
angles: 90.00 90.00 90.00
Space group I4/mmm (No. 139)
Asymmetric unit:
Si 0.0000 0.0000 0.0000
Si 0.1888 0.1888 0.5000
Sb 0.0000 0.2826 0.0000

Properties
The calculation puts the density of states at the Fermi level at 8.73 states/eV per cell. The calculation puts the raw formation energy at 0.48 eV/atom. For the uncorrected energy, the calculation gives -4.367 eV/atom.



20.
A plane-wave DFT calculation with PBE was carried out for a geometry-optimized Si2Sb structure.

abc: 3.9384 3.9384 15.6235
angles: 90.00 90.00 90.00
Space group I4_1/amd (No. 141, origin choice 2)
Asymmetric unit:
Si 0.0000 0.2500 0.2963
Sb 0.0000 0.2500 0.8750

Properties
The calculation puts the density of states at the Fermi level at 4.26 states/eV per cell. The calculation puts the raw formation energy at 0.47 eV/atom. As for the offset from the most stable computed form: 204 meV per atom. For the uncorrected energy, the calculation gives -4.517 eV/atom.